Entry 1:
Compound: Ac3Mg2Ga
Source: Alexandria via LeMat-Bulk
Functional: GGA-PBE
Structure: optimized geometry

Cell: 4.0221 4.0221 12.3020 Å, 90.00 90.00 90.00°
Last column: nearest neighbours and their distance in Å.
Fractional coordinates of all 6 atoms:
1 Ac 0.0000 0.0000 0.0000  8 Mg 3.52
2 Ac 0.0000 0.0000 0.3478  4 Ga 3.41, 4 Mg 3.59, 1 Ac 3.75
3 Ac 0.0000 0.0000 0.6522  4 Ga 3.41, 4 Mg 3.59, 1 Ac 3.75
4 Mg 0.5000 0.5000 0.1692  8 Ac 3.52-3.59
5 Mg 0.5000 0.5000 0.8308  8 Ac 3.52-3.59
6 Ga 0.5000 0.5000 0.5000  8 Ac 3.41

Summary:
ΔE_f ... -0.1919 eV per atom
Space-group type ... P4/mmm
Total magnetic moment ... 0.000 μB/f.u.
ΔE to the lowest computed polymorph ... 0.15 kcal/mol of atoms
Electronic total energy ... -3.2822 eV/atom


Entry 2:
Compound: BaAlPCl2
Source: Alexandria via LeMat-Bulk
Functional: GGA-PBE
Structure: optimized geometry

Cell: 5.0507 5.0507 4.7408 Å, 90.00 90.00 90.00°
Last column: nearest neighbours and their distance in Å.
Fractional coordinates of all 5 atoms:
1 Ba 0.0000 0.0000 0.0000  8 Cl 3.46, 4 P 3.57
2 Al 0.5000 0.5000 0.5000  2 P 2.37, 4 Cl 2.53
3 P 0.5000 0.5000 0.0000  2 Al 2.37
4 Cl 0.0000 0.5000 0.5000  2 Al 2.53
5 Cl 0.5000 0.0000 0.5000  2 Al 2.53

Summary:
Space-group type ... P4/mmm
Total magnetic moment ... 0.000 μB/f.u.
ΔE to the lowest computed polymorph ... 0.00 kcal/mol of atoms
Energy relative to the elements, uncorrected ... -1.180 eV/atom
Electronic total energy ... -4.1341 eV/atom


Entry 3:
Compound: Pr3Er2Tm6Th
Source: Alexandria via LeMat-Bulk
Functional: GGA-PBE
Structure: optimized geometry

Cell: 6.1691 6.1691 11.7288 Å, 95.05 95.05 120.02°
Last column: nearest neighbours and their distance in Å.
Fractional coordinates of all 12 atoms:
1 Pr 0.0000 0.0000 0.0000  6 Pr 3.56, 6 Tm 3.58-3.60
2 Pr 0.3329 0.6671 0.0000  6 Pr 3.56-3.57, 6 Tm 3.58-3.60
3 Pr 0.6671 0.3329 0.0000  6 Pr 3.56-3.57, 6 Tm 3.58-3.60
4 Er 0.1668 0.8332 0.5000  6 Tm 3.50-3.51, 3 Er 3.56-3.57, 3 Th 3.56
5 Er 0.8332 0.1668 0.5000  6 Tm 3.50-3.51, 3 Er 3.56-3.57, 3 Th 3.56
6 Tm 0.0878 0.4178 0.2548  1 Th 3.49, 2 Er 3.50, 6 Tm 3.53-3.58, 3 Pr 3.58-3.60
7 Tm 0.2522 0.2522 0.7452  1 Th 3.49, 2 Er 3.51, 6 Tm 3.53-3.58, 3 Pr 3.58-3.60
8 Tm 0.4178 0.0878 0.2548  1 Th 3.49, 2 Er 3.50, 6 Tm 3.53-3.58, 3 Pr 3.58-3.60
9 Tm 0.5822 0.9122 0.7452  1 Th 3.49, 2 Er 3.50, 6 Tm 3.53-3.58, 3 Pr 3.58-3.60
10 Tm 0.7478 0.7478 0.2548  1 Th 3.49, 2 Er 3.51, 6 Tm 3.53-3.58, 3 Pr 3.58-3.60
11 Tm 0.9122 0.5822 0.7452  1 Th 3.49, 2 Er 3.50, 6 Tm 3.53-3.58, 3 Pr 3.58-3.60
12 Th 0.5000 0.5000 0.5000  6 Tm 3.49, 6 Er 3.56

Summary:
ΔE_f ... 0.0232 eV per atom
Space-group type ... C2/m
Total magnetic moment ... 0.000 μB/f.u.
Electronic total energy ... -4.7862 eV/atom